DFT (PBEsol) results for a geometry-optimized GeSbTe2Ir structure. Values from VASP.

```
&SYSTEM
  ibrav = 0, nat = 5, ntyp = 4
/
ATOMIC_SPECIES
Ge 72.64 Ge.upf
Sb 121.76 Sb.upf
Te 127.60 Te.upf
Ir 192.22 Ir.upf
CELL_PARAMETERS angstrom
5.113 0.000 0.000
0.000 5.113 0.000
0.000 0.000 5.046
ATOMIC_POSITIONS crystal
Ge 0.000 0.000 0.000
Sb 0.000 0.000 0.500
Te 0.000 0.500 0.000
Te 0.500 0.000 0.000
Ir 0.500 0.500 0.500
```

## Properties
Final energy   -3.886 eV per atom
Total moment   0.00 μB per formula unit
Uncorrected formation energy   1388 meV/atom

***

DFT (PBEsol) results for a geometry-optimized Li3MnV3O8 structure. Values from VASP.

```
&SYSTEM
  ibrav = 0, nat = 15, ntyp = 4
/
ATOMIC_SPECIES
Li 6.94 Li.upf
Mn 54.94 Mn.upf
V 50.94 V.upf
O 16.00 O.upf
CELL_PARAMETERS angstrom
5.966 -1.976 0.000
5.966 1.976 0.000
-1.908 0.000 6.001
ATOMIC_POSITIONS crystal
Li 0.000 0.000 0.000
Li 0.115 0.115 0.697
Li 0.232 0.232 0.357
Mn 0.774 0.774 0.658
V 0.346 0.346 0.048
V 0.451 0.451 0.644
V 0.671 0.671 0.046
O 0.173 0.173 0.034
O 0.285 0.285 0.686
O 0.400 0.400 0.346
O 0.499 0.499 0.992
O 0.620 0.620 0.708
O 0.714 0.714 0.352
O 0.834 0.834 0.998
O 0.944 0.944 0.670
```

## Properties
Final energy   -7.904 eV per atom
Total moment   4.65 μB per formula unit
Uncorrected formation energy   -2133 meV/atom

***

DFT (PBEsol) results for a geometry-optimized LaTe2IBr structure. Values from VASP.

```
&SYSTEM
  ibrav = 0, nat = 5, ntyp = 4
/
ATOMIC_SPECIES
La 138.91 La.upf
Te 127.60 Te.upf
I 126.90 I.upf
Br 79.90 Br.upf
CELL_PARAMETERS angstrom
5.605 0.000 0.000
0.000 5.605 0.000
0.000 0.000 5.500
ATOMIC_POSITIONS crystal
La 0.000 0.000 0.000
Te 0.000 0.500 0.500
Te 0.500 0.000 0.500
I 0.500 0.500 0.000
Br 0.500 0.500 0.500
```

## Properties
Final energy   -3.340 eV per atom
Total moment   0.24 μB per formula unit
Uncorrected formation energy   -133 meV/atom

***

DFT (PBEsol) results for a geometry-optimized Na6Bi2B4SO16 structure. Values from VASP.

```
&SYSTEM
  ibrav = 0, nat = 58, ntyp = 5
/
ATOMIC_SPECIES
Na 22.99 Na.upf
Bi 208.98 Bi.upf
B 10.81 B.upf
S 32.06 S.upf
O 16.00 O.upf
CELL_PARAMETERS angstrom
0.000 7.176 7.176
7.176 0.000 7.176
7.176 7.176 0.000
ATOMIC_POSITIONS crystal
Na 0.084 0.084 0.666
Na 0.084 0.666 0.084
Na 0.084 0.666 0.666
Na 0.334 0.334 0.916
Na 0.334 0.916 0.334
Na 0.334 0.916 0.916
Na 0.666 0.084 0.084
Na 0.666 0.084 0.666
Na 0.666 0.666 0.084
Na 0.916 0.334 0.334
Na 0.916 0.334 0.916
Na 0.916 0.916 0.334
Bi 0.000 0.500 0.500
Bi 0.500 0.000 0.500
Bi 0.500 0.500 0.000
Bi 0.500 0.500 0.500
B 0.279 0.279 0.279
B 0.279 0.279 0.663
B 0.279 0.663 0.279
B 0.337 0.721 0.721
B 0.663 0.279 0.279
B 0.721 0.337 0.721
B 0.721 0.721 0.337
B 0.721 0.721 0.721
S 0.125 0.125 0.125
S 0.875 0.875 0.875
O 0.065 0.065 0.065
O 0.065 0.065 0.305
O 0.065 0.305 0.065
O 0.136 0.289 0.408
O 0.136 0.408 0.667
O 0.136 0.667 0.289
O 0.289 0.136 0.667
O 0.289 0.408 0.136
O 0.289 0.667 0.408
O 0.305 0.065 0.065
O 0.333 0.592 0.711
O 0.333 0.711 0.864
O 0.333 0.864 0.592
O 0.408 0.136 0.289
O 0.408 0.289 0.667
O 0.408 0.667 0.136
O 0.592 0.333 0.864
O 0.592 0.711 0.333
O 0.592 0.864 0.711
O 0.667 0.136 0.408
O 0.667 0.289 0.136
O 0.667 0.408 0.289
O 0.695 0.935 0.935
O 0.711 0.333 0.592
O 0.711 0.592 0.864
O 0.711 0.864 0.333
O 0.864 0.333 0.711
O 0.864 0.592 0.333
O 0.864 0.711 0.592
O 0.935 0.695 0.935
O 0.935 0.935 0.695
O 0.935 0.935 0.935
```

## Properties
Final energy   -6.488 eV per atom
Total moment   0.00 μB per formula unit
Uncorrected formation energy   -1888 meV/atom

***

DFT (PBEsol) results for a geometry-optimized KRbNa2Au structure. Values from VASP.

```
&SYSTEM
  ibrav = 0, nat = 5, ntyp = 4
/
ATOMIC_SPECIES
K 39.10 K.upf
Rb 85.47 Rb.upf
Na 22.99 Na.upf
Au 196.97 Au.upf
CELL_PARAMETERS angstrom
5.879 0.000 0.000
0.000 5.879 0.000
0.000 0.000 6.275
ATOMIC_POSITIONS crystal
K 0.000 0.000 0.000
Rb 0.500 0.500 0.000
Na 0.000 0.500 0.500
Na 0.500 0.000 0.500
Au 0.000 0.000 0.500
```

## Properties
Energy of formation from the pure elements   -0.038 eV per atom
Final energy   -1.814 eV per atom
Total moment   0.00 μB per formula unit

***

DFT (PBEsol) results for a geometry-optimized V6CoIr structure. Values from VASP.

```
&SYSTEM
  ibrav = 0, nat = 8, ntyp = 3
/
ATOMIC_SPECIES
V 50.94 V.upf
Co 58.93 Co.upf
Ir 192.22 Ir.upf
CELL_PARAMETERS angstrom
4.665 0.000 0.000
0.000 4.665 0.000
0.000 0.000 4.665
ATOMIC_POSITIONS crystal
V 0.000 0.246 0.500
V 0.000 0.754 0.500
V 0.246 0.500 0.000
V 0.500 0.000 0.246
V 0.500 0.000 0.754
V 0.754 0.500 0.000
Co 0.000 0.000 0.000
Ir 0.500 0.500 0.500
```

## Properties
Energy of formation from the pure elements   -0.349 eV per atom
Final energy   -9.770 eV per atom
Total moment   0.00 μB per formula unit

***

Question: Look up the total moment of the sixth one.
Answer: 0.00 μB per formula unit